# Hf3Sc3FeAs2 (PBE, relaxed)
data_Hf3Sc3FeAs2
_space_group_name_H-M_alt 'P -6 2 m'
_space_group_IT_number 189
_space_group_name_Hall 'P -6 -2'
_cell_length_a 7.3603
_cell_length_b 7.3603
_cell_length_c 3.6048
_cell_angle_alpha 90.00
_cell_angle_beta 90.00
_cell_angle_gamma 120.00
loop_
_atom_site_label
_atom_site_fract_x
_atom_site_fract_y
_atom_site_fract_z
_atom_site_occupancy
Hf1 0.0000 0.4032 0.0000 1
Sc1 0.0000 0.7538 0.5000 1
Fe1 0.0000 0.0000 0.0000 1
As1 0.3333 0.6667 0.5000 1
# DFT total energy: -71.75 eV/cell
# density: 8.60 g cm⁻³



# HfFeTcAs (PBE, relaxed)
data_HfFeTcAs
_space_group_name_H-M_alt 'F -4 3 m'
_space_group_IT_number 216
_space_group_name_Hall 'F -4 2 3'
_cell_length_a 6.344
_cell_length_b 6.344
_cell_length_c 6.344
_cell_angle_alpha 90.00
_cell_angle_beta 90.00
_cell_angle_gamma 90.00
loop_
_atom_site_label
_atom_site_fract_x
_atom_site_fract_y
_atom_site_fract_z
_atom_site_occupancy
Hf1 0.000 0.000 0.000 1
Fe1 0.000 0.000 0.500 1
Tc1 0.250 0.250 0.750 1
As1 0.250 0.250 0.250 1
# DFT total energy: -131.27 eV/cell
# density: 10.59 g cm⁻³



# HfFeTcAs (PBE, relaxed)
data_HfFeTcAs
_space_group_name_H-M_alt 'F -4 3 m'
_space_group_IT_number 216
_space_group_name_Hall 'F -4 2 3'
_cell_length_a 6.155
_cell_length_b 6.155
_cell_length_c 6.155
_cell_angle_alpha 90.00
_cell_angle_beta 90.00
_cell_angle_gamma 90.00
loop_
_atom_site_label
_atom_site_fract_x
_atom_site_fract_y
_atom_site_fract_z
_atom_site_occupancy
Hf1 0.000 0.000 0.000 1
Fe1 0.250 0.250 0.750 1
Tc1 0.250 0.250 0.250 1
As1 0.000 0.000 0.500 1
# DFT total energy: -136.93 eV/cell
# density: 11.60 g cm⁻³



# YHfFeAs (PBE, relaxed)
data_YHfFeAs
_space_group_name_H-M_alt 'F -4 3 m'
_space_group_IT_number 216
_space_group_name_Hall 'F -4 2 3'
_cell_length_a 6.625
_cell_length_b 6.625
_cell_length_c 6.625
_cell_angle_alpha 90.00
_cell_angle_beta 90.00
_cell_angle_gamma 90.00
loop_
_atom_site_label
_atom_site_fract_x
_atom_site_fract_y
_atom_site_fract_z
_atom_site_occupancy
Y1 0.000 0.000 0.000 1
Hf1 0.250 0.250 0.750 1
Fe1 0.000 0.000 0.500 1
As1 0.250 0.250 0.250 1
# DFT total energy: -114.32 eV/cell
# density: 9.10 g cm⁻³



# Hf2ZrFe4As4 (PBE, relaxed)
data_Hf2ZrFe4As4
_space_group_name_H-M_alt 'P 1 m 1'
_space_group_IT_number 6
_cell_length_a 6.461
_cell_length_b 3.741
_cell_length_c 7.455
_cell_angle_alpha 90.00
_cell_angle_beta 90.36
_cell_angle_gamma 90.00
loop_
_space_group_symop_operation_xyz
'x,y,z'
'x,-y,z'
loop_
_atom_site_label
_atom_site_fract_x
_atom_site_fract_y
_atom_site_fract_z
_atom_site_occupancy
Hf1 0.000 0.000 0.000 1
Hf2 0.487 0.000 0.849 1
Zr1 0.567 0.500 0.491 1
Fe1 0.172 0.500 0.724 1
Fe2 0.430 0.000 0.222 1
Fe3 0.663 0.500 0.121 1
Fe4 0.906 0.000 0.624 1
As1 0.257 0.000 0.520 1
As2 0.285 0.500 0.063 1
As3 0.792 0.500 0.807 1
As4 0.806 0.000 0.309 1
# DFT total energy: -86.59 eV/cell
# density: 8.95 g cm⁻³



# HfZrFeAs (PBE, relaxed)
data_HfZrFeAs
_space_group_name_H-M_alt 'F -4 3 m'
_space_group_IT_number 216
_space_group_name_Hall 'F -4 2 3'
_cell_length_a 6.471
_cell_length_b 6.471
_cell_length_c 6.471
_cell_angle_alpha 90.00
_cell_angle_beta 90.00
_cell_angle_gamma 90.00
loop_
_atom_site_label
_atom_site_fract_x
_atom_site_fract_y
_atom_site_fract_z
_atom_site_occupancy
Hf1 0.000 0.000 0.000 1
Zr1 0.250 0.250 0.250 1
Fe1 0.250 0.250 0.750 1
As1 0.000 0.000 0.500 1
# DFT total energy: -123.96 eV/cell
# density: 9.82 g cm⁻³



# FeHgAsIr (PBE, relaxed)
data_FeHgAsIr
_space_group_name_H-M_alt 'F -4 3 m'
_space_group_IT_number 216
_space_group_name_Hall 'F -4 2 3'
_cell_length_a 6.369
_cell_length_b 6.369
_cell_length_c 6.369
_cell_angle_alpha 90.00
_cell_angle_beta 90.00
_cell_angle_gamma 90.00
loop_
_atom_site_label
_atom_site_fract_x
_atom_site_fract_y
_atom_site_fract_z
_atom_site_occupancy
Fe1 0.000 0.000 0.000 1
Hg1 0.250 0.250 0.250 1
As1 0.250 0.250 0.750 1
Ir1 0.000 0.000 0.500 1
# DFT total energy: -81.32 eV/cell
# density: 13.46 g cm⁻³



# MgFeHgAs (PBE, relaxed)
data_MgFeHgAs
_space_group_name_H-M_alt 'F -4 3 m'
_space_group_IT_number 216
_space_group_name_Hall 'F -4 2 3'
_cell_length_a 6.601
_cell_length_b 6.601
_cell_length_c 6.601
_cell_angle_alpha 90.00
_cell_angle_beta 90.00
_cell_angle_gamma 90.00
loop_
_atom_site_label
_atom_site_fract_x
_atom_site_fract_y
_atom_site_fract_z
_atom_site_occupancy
Mg1 0.000 0.000 0.000 1
Fe1 0.000 0.000 0.500 1
Hg1 0.250 0.250 0.750 1
As1 0.250 0.250 0.250 1
# DFT total energy: -56.42 eV/cell
# density: 8.22 g cm⁻³



# FeHgMoAs (PBE, relaxed)
data_FeHgMoAs
_space_group_name_H-M_alt 'F -4 3 m'
_space_group_IT_number 216
_space_group_name_Hall 'F -4 2 3'
_cell_length_a 6.512
_cell_length_b 6.512
_cell_length_c 6.512
_cell_angle_alpha 90.00
_cell_angle_beta 90.00
_cell_angle_gamma 90.00
loop_
_atom_site_label
_atom_site_fract_x
_atom_site_fract_y
_atom_site_fract_z
_atom_site_occupancy
Fe1 0.000 0.000 0.000 1
Hg1 0.000 0.000 0.500 1
Mo1 0.250 0.250 0.250 1
As1 0.250 0.250 0.750 1
# DFT total energy: -83.36 eV/cell
# density: 10.28 g cm⁻³



# FeHgMoAs (PBE, relaxed)
data_FeHgMoAs
_space_group_name_H-M_alt 'F -4 3 m'
_space_group_IT_number 216
_space_group_name_Hall 'F -4 2 3'
_cell_length_a 6.350
_cell_length_b 6.350
_cell_length_c 6.350
_cell_angle_alpha 90.00
_cell_angle_beta 90.00
_cell_angle_gamma 90.00
loop_
_atom_site_label
_atom_site_fract_x
_atom_site_fract_y
_atom_site_fract_z
_atom_site_occupancy
Fe1 0.000 0.000 0.000 1
Hg1 0.250 0.250 0.250 1
Mo1 0.000 0.000 0.500 1
As1 0.250 0.250 0.750 1
# DFT total energy: -87.88 eV/cell
# density: 11.09 g cm⁻³



# NbFeHgAs (PBE, relaxed)
data_NbFeHgAs
_space_group_name_H-M_alt 'F -4 3 m'
_space_group_IT_number 216
_space_group_name_Hall 'F -4 2 3'
_cell_length_a 6.495
_cell_length_b 6.495
_cell_length_c 6.495
_cell_angle_alpha 90.00
_cell_angle_beta 90.00
_cell_angle_gamma 90.00
loop_
_atom_site_label
_atom_site_fract_x
_atom_site_fract_y
_atom_site_fract_z
_atom_site_occupancy
Nb1 0.000 0.000 0.000 1
Fe1 0.250 0.250 0.750 1
Hg1 0.250 0.250 0.250 1
As1 0.000 0.000 0.500 1
# DFT total energy: -84.31 eV/cell
# density: 10.28 g cm⁻³



# NbFeHgAs (PBE, relaxed)
data_NbFeHgAs
_space_group_name_H-M_alt 'F -4 3 m'
_space_group_IT_number 216
_space_group_name_Hall 'F -4 2 3'
_cell_length_a 6.452
_cell_length_b 6.452
_cell_length_c 6.452
_cell_angle_alpha 90.00
_cell_angle_beta 90.00
_cell_angle_gamma 90.00
loop_
_atom_site_label
_atom_site_fract_x
_atom_site_fract_y
_atom_site_fract_z
_atom_site_occupancy
Nb1 0.000 0.000 0.000 1
Fe1 0.000 0.000 0.500 1
Hg1 0.250 0.250 0.750 1
As1 0.250 0.250 0.250 1
# DFT total energy: -87.93 eV/cell
# density: 10.49 g cm⁻³



# ScFeHgAs (PBE, relaxed)
data_ScFeHgAs
_space_group_name_H-M_alt 'F -4 3 m'
_space_group_IT_number 216
_space_group_name_Hall 'F -4 2 3'
_cell_length_a 6.588
_cell_length_b 6.588
_cell_length_c 6.588
_cell_angle_alpha 90.00
_cell_angle_beta 90.00
_cell_angle_gamma 90.00
loop_
_atom_site_label
_atom_site_fract_x
_atom_site_fract_y
_atom_site_fract_z
_atom_site_occupancy
Sc1 0.000 0.000 0.000 1
Fe1 0.000 0.000 0.500 1
Hg1 0.250 0.250 0.750 1
As1 0.250 0.250 0.250 1
# DFT total energy: -80.13 eV/cell
# density: 8.74 g cm⁻³



# ScFeHgAs (PBE, relaxed)
data_ScFeHgAs
_space_group_name_H-M_alt 'F -4 3 m'
_space_group_IT_number 216
_space_group_name_Hall 'F -4 2 3'
_cell_length_a 6.660
_cell_length_b 6.660
_cell_length_c 6.660
_cell_angle_alpha 90.00
_cell_angle_beta 90.00
_cell_angle_gamma 90.00
loop_
_atom_site_label
_atom_site_fract_x
_atom_site_fract_y
_atom_site_fract_z
_atom_site_occupancy
Sc1 0.000 0.000 0.000 1
Fe1 0.250 0.250 0.750 1
Hg1 0.250 0.250 0.250 1
As1 0.000 0.000 0.500 1
# DFT total energy: -76.23 eV/cell
# density: 8.46 g cm⁻³



# YFeHgAs (PBE, relaxed)
data_YFeHgAs
_space_group_name_H-M_alt 'F -4 3 m'
_space_group_IT_number 216
_space_group_name_Hall 'F -4 2 3'
_cell_length_a 6.896
_cell_length_b 6.896
_cell_length_c 6.896
_cell_angle_alpha 90.00
_cell_angle_beta 90.00
_cell_angle_gamma 90.00
loop_
_atom_site_label
_atom_site_fract_x
_atom_site_fract_y
_atom_site_fract_z
_atom_site_occupancy
Y1 0.000 0.000 0.000 1
Fe1 0.250 0.250 0.750 1
Hg1 0.250 0.250 0.250 1
As1 0.000 0.000 0.500 1
# DFT total energy: -77.15 eV/cell
# density: 8.51 g cm⁻³



# YFeHgAs (PBE, relaxed)
data_YFeHgAs
_space_group_name_H-M_alt 'F -4 3 m'
_space_group_IT_number 216
_space_group_name_Hall 'F -4 2 3'
_cell_length_a 6.857
_cell_length_b 6.857
_cell_length_c 6.857
_cell_angle_alpha 90.00
_cell_angle_beta 90.00
_cell_angle_gamma 90.00
loop_
_atom_site_label
_atom_site_fract_x
_atom_site_fract_y
_atom_site_fract_z
_atom_site_occupancy
Y1 0.000 0.000 0.000 1
Fe1 0.000 0.000 0.500 1
Hg1 0.250 0.250 0.750 1
As1 0.250 0.250 0.250 1
# DFT total energy: -81.09 eV/cell
# density: 8.66 g cm⁻³



# ZrFeHgAs (PBE, relaxed)
data_ZrFeHgAs
_space_group_name_H-M_alt 'F -4 3 m'
_space_group_IT_number 216
_space_group_name_Hall 'F -4 2 3'
_cell_length_a 6.609
_cell_length_b 6.609
_cell_length_c 6.609
_cell_angle_alpha 90.00
_cell_angle_beta 90.00
_cell_angle_gamma 90.00
loop_
_atom_site_label
_atom_site_fract_x
_atom_site_fract_y
_atom_site_fract_z
_atom_site_occupancy
Zr1 0.000 0.000 0.000 1
Fe1 0.000 0.000 0.500 1
Hg1 0.250 0.250 0.750 1
As1 0.250 0.250 0.250 1
# DFT total energy: -86.39 eV/cell
# density: 9.72 g cm⁻³



# ZrFeHgAs (PBE, relaxed)
data_ZrFeHgAs
_space_group_name_H-M_alt 'F -4 3 m'
_space_group_IT_number 216
_space_group_name_Hall 'F -4 2 3'
_cell_length_a 6.611
_cell_length_b 6.611
_cell_length_c 6.611
_cell_angle_alpha 90.00
_cell_angle_beta 90.00
_cell_angle_gamma 90.00
loop_
_atom_site_label
_atom_site_fract_x
_atom_site_fract_y
_atom_site_fract_z
_atom_site_occupancy
Zr1 0.000 0.000 0.000 1
Fe1 0.250 0.250 0.750 1
Hg1 0.250 0.250 0.250 1
As1 0.000 0.000 0.500 1
# DFT total energy: -83.05 eV/cell
# density: 9.72 g cm⁻³



# InFe2As (PBE, relaxed)
data_InFe2As
_space_group_name_H-M_alt 'P m -3 m'
_space_group_IT_number 221
_space_group_name_Hall '-P 4 2 3'
_cell_length_a 6.162
_cell_length_b 6.162
_cell_length_c 6.162
_cell_angle_alpha 90.00
_cell_angle_beta 90.00
_cell_angle_gamma 90.00
loop_
_atom_site_label
_atom_site_fract_x
_atom_site_fract_y
_atom_site_fract_z
_atom_site_occupancy
In1 0.000 0.000 0.000 1
In2 0.000 0.000 0.500 1
Fe1 0.275 0.275 0.275 1
As1 0.000 0.500 0.500 1
As2 0.500 0.500 0.500 1
# DFT total energy: -92.44 eV/cell
# density: 8.56 g cm⁻³



# InFe3As5 (PBE, relaxed)
data_InFe3As5
_space_group_name_H-M_alt 'P 6/m m m'
_space_group_IT_number 191
_space_group_name_Hall '-P 6 2'
_cell_length_a 5.0172
_cell_length_b 5.0172
_cell_length_c 7.6353
_cell_angle_alpha 90.00
_cell_angle_beta 90.00
_cell_angle_gamma 120.00
loop_
_atom_site_label
_atom_site_fract_x
_atom_site_fract_y
_atom_site_fract_z
_atom_site_occupancy
In1 0.0000 0.0000 0.0000 1
Fe1 0.0000 0.5000 0.5000 1
As1 0.0000 0.0000 0.5000 1
As2 0.3333 0.6667 0.2343 1
# DFT total energy: -50.95 eV/cell
# density: 6.55 g cm⁻³